HoBeAu3 after structural relaxation. Source: Alexandria via LeMat-Bulk, functional PBE.

Cell and atoms, written as POSCAR:
```
HoBeAu3
1.0
4.549 -0.088 -0.186
-0.190 4.546 -0.186
-0.086 -0.088 4.552
Ho Be Au
1 1 3
Direct
0.346 0.346 0.346 Ho
0.754 0.754 0.754 Be
0.276 0.841 0.841 Au
0.841 0.841 0.276 Au
0.841 0.276 0.841 Au
```

ΔE_f	-483	meV per atom
total moment	0.000	μB/cell

HoBe4Au8 after structural relaxation. Source: Alexandria via LeMat-Bulk, functional PBE.

Cell and atoms, written as POSCAR:
```
HoBe4Au8
1.0
-4.904 -1.390 -1.355
-3.158 -3.585 4.843
-4.649 4.619 1.824
Ho Be Au
1 4 8
Direct
0.000 0.000 0.000 Ho
0.000 0.000 0.500 Be
0.500 0.000 0.500 Be
0.000 0.500 0.000 Be
0.500 0.500 0.000 Be
0.000 0.326 0.674 Au
0.000 0.674 0.326 Au
0.326 0.674 0.674 Au
0.674 0.326 0.326 Au
0.500 0.778 0.222 Au
0.500 0.222 0.778 Au
0.278 0.222 0.222 Au
0.722 0.778 0.778 Au
```

ΔE_f	-278	meV per atom
offset from the most stable computed form	0.00	eV per formula unit
total moment	0.000	μB/cell

HoBe6Au12 after structural relaxation. Source: Alexandria via LeMat-Bulk, functional PBE.

Cell and atoms, written as POSCAR:
```
HoBe6Au12
1.0
7.355 0.000 0.000
-2.452 6.935 0.000
-2.452 -3.467 6.006
Ho Be Au
1 6 12
Direct
0.000 0.000 0.000 Ho
0.372 0.500 0.872 Be
0.628 0.500 0.128 Be
0.500 0.872 0.372 Be
0.500 0.128 0.628 Be
0.872 0.372 0.500 Be
0.128 0.628 0.500 Be
0.308 0.135 0.827 Au
0.308 0.481 0.173 Au
0.692 0.519 0.827 Au
0.692 0.865 0.173 Au
0.135 0.827 0.308 Au
0.481 0.173 0.308 Au
0.519 0.827 0.692 Au
0.865 0.173 0.692 Au
0.827 0.308 0.135 Au
0.173 0.308 0.481 Au
0.827 0.692 0.519 Au
0.173 0.692 0.865 Au
```

ΔE_f	-99	meV per atom
total moment	0.000	μB/cell

HoBe5Au7 after structural relaxation. Source: Alexandria via LeMat-Bulk, functional PBE.

Cell and atoms, written as POSCAR:
```
HoBe5Au7
1.0
-1.135 -2.674 -4.105
5.508 -2.202 -3.169
-0.612 -6.558 1.360
Ho Be Au
1 5 7
Direct
0.992 0.008 0.008 Ho
0.503 0.990 0.497 Be
0.010 0.990 0.497 Be
0.503 0.497 0.990 Be
0.010 0.497 0.990 Be
0.732 0.768 0.768 Be
0.651 0.349 0.349 Au
0.319 0.681 0.681 Au
0.974 0.365 0.688 Au
0.974 0.688 0.365 Au
0.273 0.227 0.227 Au
0.530 0.778 0.161 Au
0.530 0.161 0.778 Au
```

ΔE_f	-292	meV per atom
total moment	0.000	μB/cell

Ho2Be3Au9 after structural relaxation. Source: Alexandria via LeMat-Bulk, functional PBE.

Cell and atoms, written as POSCAR:
```
Ho2Be3Au9
1.0
1.235 -5.139 -5.740
-1.800 -2.480 7.176
-9.227 4.515 -0.711
Ho Be Au
4 6 18
Direct
0.339 0.246 0.751 Ho
0.661 0.754 0.249 Ho
0.995 0.587 0.749 Ho
0.005 0.413 0.251 Ho
0.500 0.000 0.000 Be
0.500 0.500 0.500 Be
0.864 0.181 0.502 Be
0.136 0.819 0.498 Be
0.179 0.363 0.998 Be
0.821 0.637 0.002 Be
0.430 0.917 0.741 Au
0.570 0.083 0.259 Au
0.676 0.689 0.759 Au
0.324 0.311 0.241 Au
0.436 0.631 0.925 Au
0.564 0.369 0.075 Au
0.206 0.512 0.575 Au
0.794 0.488 0.425 Au
0.909 0.159 0.750 Au
0.091 0.841 0.250 Au
0.141 0.988 0.942 Au
0.859 0.012 0.058 Au
0.546 0.200 0.558 Au
0.454 0.800 0.442 Au
0.880 0.857 0.569 Au
0.120 0.143 0.431 Au
0.788 0.311 0.931 Au
0.212 0.689 0.069 Au
```

ΔE_f	-446	meV per atom
total moment	0.000	μB/cell

HoBe4Au8 after structural relaxation. Source: Alexandria via LeMat-Bulk, functional PBE.

Cell and atoms, written as POSCAR:
```
HoBe4Au8
1.0
8.090 1.325 0.946
5.060 6.449 0.946
5.060 2.992 5.791
Ho Be Au
1 4 8
Direct
0.000 0.000 0.000 Ho
0.500 0.500 0.500 Be
0.500 0.500 0.000 Be
0.000 0.500 0.500 Be
0.500 0.000 0.500 Be
0.780 0.267 0.267 Au
0.267 0.267 0.780 Au
0.267 0.780 0.267 Au
0.270 0.270 0.270 Au
0.730 0.730 0.730 Au
0.733 0.733 0.220 Au
0.733 0.220 0.733 Au
0.220 0.733 0.733 Au
```

ΔE_f	38	meV per atom
offset from the most stable computed form	4.11	eV per formula unit
total moment	0.000	μB/cell

Ho2BeAu after structural relaxation. Source: Alexandria via LeMat-Bulk, functional PBE.

Cell and atoms, written as POSCAR:
```
Ho2BeAu
1.0
-2.242 0.030 -2.707
1.715 -2.703 -1.451
-4.092 -4.390 3.340
Be Au Ho
1 1 2
Direct
0.500 0.500 0.000 Be
0.500 0.500 0.500 Au
0.000 0.000 0.763 Ho
0.000 0.000 0.237 Ho
```

ΔE_f	-390	meV per atom
offset from the most stable computed form	0.00	eV per formula unit
total moment	0.000	μB/cell

HoLuBeAu after structural relaxation. Source: Alexandria via LeMat-Bulk, functional PBE.

Cell and atoms, written as POSCAR:
```
HoLuBeAu
1.0
4.926 0.000 0.000
2.463 4.266 0.000
2.463 1.422 4.022
Be Lu Au Ho
1 1 1 1
Direct
0.500 0.500 0.500 Be
0.250 0.250 0.250 Lu
0.000 0.000 0.000 Au
0.750 0.750 0.750 Ho
```

ΔE_f	-363	meV per atom
total moment	0.000	μB/cell

PmHoBeAu after structural relaxation. Source: Alexandria via LeMat-Bulk, functional PBE.

Cell and atoms, written as POSCAR:
```
PmHoBeAu
1.0
5.054 0.000 0.000
2.527 4.377 0.000
2.527 1.459 4.127
Be Au Ho Pm
1 1 1 1
Direct
0.500 0.500 0.500 Be
0.000 0.000 0.000 Au
0.750 0.750 0.750 Ho
0.250 0.250 0.250 Pm
```

ΔE_f	-294	meV per atom
total moment	0.000	μB/cell

Ho2Be4Pt3Au after structural relaxation. Source: Alexandria via LeMat-Bulk, functional PBE.

Cell and atoms, written as POSCAR:
```
Ho2Be4Pt3Au
1.0
-1.307 3.591 -1.394
0.954 -1.125 -3.791
-8.628 -3.572 -1.111
Ho Be Pt Au
2 4 3 1
Direct
0.500 0.000 0.244 Ho
0.000 0.500 0.756 Ho
0.500 0.500 0.000 Be
0.000 0.000 0.000 Be
0.500 0.000 0.630 Be
0.000 0.500 0.370 Be
0.000 0.000 0.500 Pt
0.500 0.000 0.876 Pt
0.000 0.500 0.124 Pt
0.500 0.500 0.500 Au
```

ΔE_f	-788	meV per atom
total moment	0.000	μB/cell

TbHoBeAu after structural relaxation. Source: Alexandria via LeMat-Bulk, functional PBE.

Cell and atoms, written as POSCAR:
```
TbHoBeAu
1.0
-4.566 -0.729 1.886
-3.910 -0.532 -3.060
-2.214 -4.451 -0.471
Tb Au Ho Be
1 1 1 1
Direct
0.500 0.500 0.500 Tb
0.750 0.750 0.750 Au
0.000 0.000 0.000 Ho
0.250 0.250 0.250 Be
```

ΔE_f	-334	meV per atom
total moment	0.000	μB/cell

HoBeZn2Au5 after structural relaxation. Source: Alexandria via LeMat-Bulk, functional PBE.

Cell and atoms, written as POSCAR:
```
HoBeZn2Au5
1.0
-2.835 3.006 1.659
-3.623 -4.425 1.829
6.354 0.509 3.959
Ho Be Zn Au
1 1 2 5
Direct
0.000 0.500 0.000 Ho
0.500 0.000 0.000 Be
0.199 0.199 0.397 Zn
0.801 0.801 0.603 Zn
0.633 0.869 0.267 Au
0.367 0.131 0.733 Au
0.367 0.602 0.733 Au
0.633 0.398 0.267 Au
0.000 0.000 0.000 Au
```

ΔE_f	-271	meV per atom
total moment	0.000	μB/cell

HoBe2ZnAu4 after structural relaxation. Source: Alexandria via LeMat-Bulk, functional PBE.

Cell and atoms, written as POSCAR:
```
HoBe2ZnAu4
1.0
4.214 0.000 0.000
2.107 3.650 0.000
2.107 1.217 8.906
Ho Be Zn Au
1 2 1 4
Direct
0.000 0.000 0.000 Ho
0.757 0.757 0.730 Be
0.243 0.243 0.270 Be
0.500 0.500 0.500 Zn
0.398 0.398 0.805 Au
0.875 0.875 0.376 Au
0.125 0.125 0.624 Au
0.602 0.602 0.195 Au
```

ΔE_f	-296	meV per atom
total moment	0.000	μB/cell

BeAu3I after structural relaxation. Source: Alexandria via LeMat-Bulk, functional PBE.

Cell and atoms, written as POSCAR:
```
BeAu3I
1.0
4.687 0.000 0.000
0.000 4.687 0.000
0.000 0.000 4.687
I Be Au
1 1 3
Direct
0.500 0.500 0.500 I
0.000 0.000 0.000 Be
0.000 0.500 0.000 Au
0.000 0.000 0.500 Au
0.500 0.000 0.000 Au
```

offset from the most stable computed form	0.00	eV per formula unit
formation energy (no corrections)	0.41	eV/atom
total moment	0.000	μB/cell

BeAuI2 after structural relaxation. Source: Alexandria via LeMat-Bulk, functional PBE.

Cell and atoms, written as POSCAR:
```
BeAuI2
1.0
0.000 3.681 3.681
3.681 0.000 3.681
3.681 3.681 0.000
I Be Au
2 1 1
Direct
0.250 0.250 0.250 I
0.750 0.750 0.750 I
0.000 0.000 0.000 Be
0.500 0.500 0.500 Au
```

offset from the most stable computed form	2.26	eV per formula unit
formation energy (no corrections)	0.77	eV/atom
total moment	0.000	μB/cell

BeAuI4 after structural relaxation. Source: Alexandria via LeMat-Bulk, functional PBE.

Cell and atoms, written as POSCAR:
```
BeAuI4
1.0
-3.004 -2.059 4.509
2.476 -5.190 -0.721
10.725 7.406 6.802
Be Au I
2 2 8
Direct
0.000 0.000 0.000 Be
0.750 0.250 0.500 Be
0.500 0.500 0.000 Au
0.250 0.750 0.500 Au
0.167 0.167 0.888 I
0.030 0.529 0.612 I
0.917 0.970 0.388 I
0.279 0.833 0.112 I
0.833 0.280 0.112 I
0.471 0.417 0.388 I
0.583 0.083 0.612 I
0.720 0.721 0.888 I
```

formation energy (no corrections)	-0.21	eV/atom
total moment	0.000	μB/cell

BeAuI2 after structural relaxation. Source: Alexandria via LeMat-Bulk, functional PBE.

Cell and atoms, written as POSCAR:
```
BeAuI2
1.0
7.072 0.000 0.000
0.000 7.072 0.000
3.536 3.536 4.630
I Be Au
4 2 2
Direct
0.551 0.125 0.250 I
0.199 0.625 0.250 I
0.375 0.449 0.750 I
0.875 0.801 0.750 I
0.500 0.500 0.000 Be
0.250 0.750 0.500 Be
0.000 0.000 0.000 Au
0.750 0.250 0.500 Au
```

offset from the most stable computed form	0.00	eV per formula unit
formation energy (no corrections)	0.21	eV/atom
total moment	0.000	μB/cell

Be3AuI after structural relaxation. Source: Alexandria via LeMat-Bulk, functional PBE.

Cell and atoms, written as POSCAR:
```
Be3AuI
1.0
4.721 0.000 0.000
0.000 4.721 0.000
0.000 0.000 4.721
I Be Au
1 3 1
Direct
0.000 0.000 0.000 I
0.000 0.500 0.000 Be
0.000 0.000 0.500 Be
0.500 0.000 0.000 Be
0.500 0.500 0.500 Au
```

offset from the most stable computed form	5.21	eV per formula unit
formation energy (no corrections)	1.66	eV/atom
total moment	0.000	μB/cell

BeAu3I after structural relaxation. Source: Alexandria via LeMat-Bulk, functional PBE.

Cell and atoms, written as POSCAR:
```
BeAu3I
1.0
5.427 0.000 0.000
0.000 5.427 0.000
0.000 0.000 5.427
I Be Au
1 1 3
Direct
0.000 0.000 0.000 I
0.500 0.500 0.500 Be
0.000 0.500 0.000 Au
0.000 0.000 0.500 Au
0.500 0.000 0.000 Au
```

offset from the most stable computed form	4.44	eV per formula unit
formation energy (no corrections)	1.30	eV/atom
total moment	0.000	μB/cell

Be3AuI after structural relaxation. Source: Alexandria via LeMat-Bulk, functional PBE.

Cell and atoms, written as POSCAR:
```
Be3AuI
1.0
4.559 0.000 0.000
0.000 4.559 0.000
0.000 0.000 4.559
I Be Au
1 3 1
Direct
0.500 0.500 0.500 I
0.000 0.500 0.000 Be
0.000 0.000 0.500 Be
0.500 0.000 0.000 Be
0.000 0.000 0.000 Au
```

offset from the most stable computed form	0.00	eV per formula unit
formation energy (no corrections)	0.61	eV/atom
total moment	0.000	μB/cell